{
  "formula": "Sm3Tm3Si4",
  "functional": "PBE",
  "state": "relaxed",
  "lattice_angstrom": [[4.287, 0.000, 0.000], [0.000, 5.307, 5.261], [0.000, -5.307, 5.261]],
  "species": ["Sm", "Sm", "Sm", "Tm", "Tm", "Tm", "Si", "Si", "Si", "Si"],
  "fractional_positions": [[0.000, 0.000, 0.000], [0.000, 0.496, 0.851], [0.000, 0.851, 0.496], [0.000, 0.352, 0.352], [0.500, 0.174, 0.676], [0.500, 0.676, 0.174], [0.500, 0.064, 0.294], [0.500, 0.294, 0.064], [0.500, 0.553, 0.553], [0.500, 0.789, 0.789]],
  "volume_a3_per_fu": 239.4,
  "e_form_raw_ev_per_atom": -0.71,
  "energy_ev_per_atom": -5.636,
  "space_group": "Amm2, No. 38"
}

{
  "formula": "Sm4TmSi4",
  "functional": "PBE",
  "state": "relaxed",
  "lattice_angstrom": [[8.891, 0.000, 0.000], [0.000, 8.891, 0.000], [0.000, 0.000, 5.973]],
  "species": ["Sm", "Sm", "Sm", "Sm", "Sm", "Sm", "Sm", "Sm", "Tm", "Tm", "Si", "Si", "Si", "Si", "Si", "Si", "Si", "Si"],
  "fractional_positions": [[0.059, 0.669, 0.115], [0.169, 0.941, 0.615], [0.331, 0.559, 0.615], [0.441, 0.831, 0.115], [0.559, 0.169, 0.885], [0.669, 0.441, 0.385], [0.831, 0.059, 0.385], [0.941, 0.331, 0.885], [0.250, 0.250, 0.250], [0.750, 0.750, 0.750], [0.010, 0.619, 0.604], [0.119, 0.990, 0.104], [0.381, 0.510, 0.104], [0.490, 0.881, 0.604], [0.510, 0.119, 0.396], [0.619, 0.490, 0.896], [0.881, 0.010, 0.896], [0.990, 0.381, 0.396]],
  "volume_a3_per_fu": 236.1,
  "e_form_raw_ev_per_atom": -0.49,
  "energy_ev_per_atom": -5.491,
  "space_group": "P4_2/n, No. 86"
}

{
  "formula": "Sm2Tm3Si4",
  "functional": "PBE",
  "state": "relaxed",
  "lattice_angstrom": [[7.650, 0.000, 0.000], [0.000, 7.695, 0.000], [-2.189, 0.000, 7.045]],
  "species": ["Sm", "Sm", "Sm", "Sm", "Tm", "Tm", "Tm", "Tm", "Tm", "Tm", "Si", "Si", "Si", "Si", "Si", "Si", "Si", "Si"],
  "fractional_positions": [[0.197, 0.177, 0.081], [0.197, 0.323, 0.581], [0.803, 0.677, 0.419], [0.803, 0.823, 0.919], [0.246, 0.680, 0.252], [0.246, 0.820, 0.752], [0.500, 0.000, 0.500], [0.500, 0.500, 0.000], [0.754, 0.180, 0.248], [0.754, 0.320, 0.748], [0.078, 0.532, 0.873], [0.078, 0.968, 0.373], [0.492, 0.120, 0.875], [0.492, 0.380, 0.375], [0.508, 0.620, 0.625], [0.508, 0.880, 0.125], [0.922, 0.032, 0.627], [0.922, 0.468, 0.127]],
  "volume_a3_per_fu": 207.3,
  "e_form_raw_ev_per_atom": -0.77,
  "energy_ev_per_atom": -5.723,
  "space_group": "P2_1/c, No. 14"
}

{
  "formula": "SmTm2Si6",
  "functional": "PBE",
  "state": "relaxed",
  "lattice_angstrom": [[7.094, 0.000, 0.000], [-3.547, 6.144, 0.000], [0.000, 0.000, 3.927]],
  "species": ["Sm", "Tm", "Tm", "Si", "Si", "Si", "Si", "Si", "Si"],
  "fractional_positions": [[0.000, 0.000, 0.000], [0.333, 0.667, 0.000], [0.667, 0.333, 0.000], [0.000, 0.336, 0.500], [0.000, 0.664, 0.500], [0.336, 0.000, 0.500], [0.336, 0.336, 0.500], [0.664, 0.000, 0.500], [0.664, 0.664, 0.500]],
  "volume_a3_per_fu": 171.1,
  "e_form_raw_ev_per_atom": -0.50,
  "energy_ev_per_atom": -5.635,
  "space_group": "P6/mmm, No. 191"
}

{
  "formula": "SmTmSi4",
  "functional": "PBE",
  "state": "relaxed",
  "lattice_angstrom": [[8.286, 0.000, 0.000], [0.000, 14.543, 0.000], [0.000, 0.000, 4.054]],
  "species": ["Sm", "Sm", "Sm", "Sm", "Tm", "Tm", "Tm", "Tm", "Si", "Si", "Si", "Si", "Si", "Si", "Si", "Si", "Si", "Si", "Si", "Si", "Si", "Si", "Si", "Si"],
  "fractional_positions": [[0.112, 0.135, 0.000], [0.388, 0.635, 0.000], [0.612, 0.365, 0.000], [0.888, 0.865, 0.000], [0.141, 0.413, 0.000], [0.359, 0.913, 0.000], [0.641, 0.087, 0.000], [0.859, 0.587, 0.000], [0.032, 0.292, 0.500], [0.121, 0.561, 0.500], [0.128, 0.966, 0.500], [0.186, 0.806, 0.500], [0.314, 0.306, 0.500], [0.372, 0.466, 0.500], [0.379, 0.061, 0.500], [0.468, 0.792, 0.500], [0.532, 0.208, 0.500], [0.621, 0.939, 0.500], [0.628, 0.534, 0.500], [0.686, 0.694, 0.500], [0.814, 0.194, 0.500], [0.872, 0.034, 0.500], [0.879, 0.439, 0.500], [0.968, 0.708, 0.500]],
  "volume_a3_per_fu": 122.1,
  "e_form_raw_ev_per_atom": -0.43,
  "energy_ev_per_atom": -5.580,
  "space_group": "Pbam, No. 55"
}

{
  "formula": "SmU2Si6",
  "functional": "PBE",
  "state": "relaxed",
  "lattice_angstrom": [[7.009, 0.000, 0.000], [-3.505, 6.070, 0.000], [0.000, 0.000, 3.897]],
  "species": ["Sm", "U", "U", "Si", "Si", "Si", "Si", "Si", "Si"],
  "fractional_positions": [[0.000, 0.000, 0.000], [0.333, 0.667, 0.000], [0.667, 0.333, 0.000], [0.000, 0.336, 0.500], [0.000, 0.664, 0.500], [0.336, 0.000, 0.500], [0.336, 0.336, 0.500], [0.664, 0.000, 0.500], [0.664, 0.664, 0.500]],
  "volume_a3_per_fu": 165.8,
  "e_form_raw_ev_per_atom": -0.41,
  "energy_ev_per_atom": -7.053,
  "space_group": "P6/mmm, No. 191"
}

{
  "formula": "SmY2Si6",
  "functional": "PBE",
  "state": "relaxed",
  "lattice_angstrom": [[7.116, 0.000, 0.000], [-3.558, 6.163, 0.000], [0.000, 0.000, 3.997]],
  "species": ["Sm", "Y", "Y", "Si", "Si", "Si", "Si", "Si", "Si"],
  "fractional_positions": [[0.000, 0.000, 0.000], [0.333, 0.667, 0.000], [0.667, 0.333, 0.000], [0.000, 0.335, 0.500], [0.000, 0.665, 0.500], [0.335, 0.000, 0.500], [0.335, 0.335, 0.500], [0.665, 0.000, 0.500], [0.665, 0.665, 0.500]],
  "volume_a3_per_fu": 175.3,
  "e_form_raw_ev_per_atom": -0.54,
  "energy_ev_per_atom": -6.120,
  "space_group": "P6/mmm, No. 191"
}

{
  "formula": "Sm2Y3Si2",
  "functional": "PBE",
  "state": "relaxed",
  "lattice_angstrom": [[5.910, -2.096, 0.000], [5.910, 2.096, 0.000], [-3.096, 0.000, 7.782]],
  "species": ["Sm", "Sm", "Y", "Y", "Y", "Si", "Si"],
  "fractional_positions": [[0.153, 0.153, 0.308], [0.847, 0.847, 0.692], [0.372, 0.372, 0.061], [0.500, 0.500, 0.500], [0.628, 0.628, 0.939], [0.168, 0.168, 0.708], [0.832, 0.832, 0.292]],
  "volume_a3_per_fu": 192.8,
  "e_form_raw_ev_per_atom": -0.47,
  "energy_ev_per_atom": -6.137,
  "space_group": "C2/m, No. 12"
}